# 1
The following is a PBE calculation of CsTi5S8 after structural relaxation, from Alexandria.

Computed properties:
V = 19.52 Å³/atom
Total moment = 0.046 μB per atom
Energy = -6.6724 eV/atom

```
CsTi5S8
1.0
9.0164 -1.7339 0.0000
9.0164 1.7339 0.0000
-2.3169 0.0000 8.7398
Cs Ti S
1 5 8
direct
0.0000 0.0000 0.0000 Cs
0.1652 0.1652 0.4980 Ti
0.2078 0.2078 0.8468 Ti
0.5000 0.5000 0.5000 Ti
0.7922 0.7922 0.1532 Ti
0.8348 0.8348 0.5020 Ti
0.0768 0.0768 0.6632 S
0.2558 0.2558 0.3293 S
0.3354 0.3354 0.0071 S
0.4099 0.4099 0.6630 S
0.5901 0.5901 0.3370 S
0.6646 0.6646 0.9929 S
0.7442 0.7442 0.6707 S
0.9232 0.9232 0.3368 S
```

# 2
The following is a PBE calculation of TbFePt4 after structural relaxation, from Alexandria.

Computed properties:
DFT formation energy = -0.57 eV per atom
V = 17.42 Å³/atom
Total moment = 0.636 μB per atom

```
TbFePt4
1.0
7.6579 0.0000 0.0000
0.0000 3.9853 0.0000
0.0000 0.0000 6.8500
Tb Fe Pt
2 2 8
direct
0.2500 0.0000 0.1447 Tb
0.7500 0.0000 0.8553 Tb
0.2500 0.0000 0.7331 Fe
0.7500 0.0000 0.2669 Fe
0.0000 0.0000 0.5000 Pt
0.0508 0.5000 0.8125 Pt
0.2500 0.5000 0.4651 Pt
0.4492 0.5000 0.8125 Pt
0.5000 0.0000 0.5000 Pt
0.5508 0.5000 0.1875 Pt
0.7500 0.5000 0.5349 Pt
0.9492 0.5000 0.1875 Pt
```

# 3
The following is a PBE calculation of Ta4CrSb2 after structural relaxation, from Alexandria.

Computed properties:
V = 21.47 Å³/atom
Total moment = 0.000 μB per atom
Energy = -8.6081 eV/atom

```
Ta4CrSb2
1.0
-2.2902 2.2902 7.1632
2.2902 -2.2902 7.1632
2.2902 2.2902 -7.1632
Ta Cr Sb
4 1 2
direct
0.0000 0.5000 0.5000 Ta
0.1608 0.1608 0.0000 Ta
0.5000 0.0000 0.5000 Ta
0.8392 0.8392 0.0000 Ta
0.0000 0.0000 0.0000 Cr
0.3593 0.3593 0.0000 Sb
0.6407 0.6407 0.0000 Sb
```

# 4
The following is a PBE calculation of KPtSe2 after structural relaxation, from Alexandria.

Computed properties:
V = 22.45 Å³/atom
Total moment = 0.000 μB per atom
Energy = -3.6012 eV/atom

```
KPtSe2
1.0
3.3502 0.0000 0.0000
0.0000 3.3502 0.0000
0.0000 0.0000 8.0013
K Pt Se
1 1 2
direct
0.0000 0.0000 0.0000 K
0.0000 0.0000 0.5000 Pt
0.5000 0.5000 0.3081 Se
0.5000 0.5000 0.6919 Se
```

# 5
The following is a PBE calculation of NaPb4Au4 after structural relaxation, from Alexandria.

Computed properties:
DFT formation energy = -0.10 eV per atom
V = 29.33 Å³/atom
Total moment = 0.000 μB per atom

```
NaPb4Au4
1.0
9.4869 0.0000 0.0000
0.0000 9.4869 0.0000
0.0000 0.0000 5.8663
Na Pb Au
2 8 8
direct
0.2500 0.2500 0.2500 Na
0.7500 0.7500 0.7500 Na
0.0972 0.6376 0.1421 Pb
0.1376 0.9028 0.6421 Pb
0.3624 0.5972 0.6421 Pb
0.4028 0.8624 0.1421 Pb
0.5972 0.1376 0.8579 Pb
0.6376 0.4028 0.3579 Pb
0.8624 0.0972 0.3579 Pb
0.9028 0.3624 0.8579 Pb
0.0455 0.6110 0.6458 Au
0.1110 0.9545 0.1458 Au
0.3890 0.5455 0.1458 Au
0.4545 0.8890 0.6458 Au
0.5455 0.1110 0.3542 Au
0.6110 0.4545 0.8542 Au
0.8890 0.0455 0.8542 Au
0.9545 0.3890 0.3542 Au
```

# 6
The following is a PBE calculation of Re2SiCl after structural relaxation, from Alexandria.

Computed properties:
Polymorph energy (0 for the lowest one) = 490 meV per atom
V = 14.01 Å³/atom
Total moment = 0.000 μB per atom

```
Re2SiCl
1.0
0.0000 3.0377 3.0377
3.0377 0.0000 3.0377
3.0377 3.0377 0.0000
Re Si Cl
2 1 1
direct
0.2500 0.2500 0.2500 Re
0.7500 0.7500 0.7500 Re
0.0000 0.0000 0.0000 Si
0.5000 0.5000 0.5000 Cl
```

# 7
The following is a PBE calculation of MnReTc2 after structural relaxation, from Alexandria.

Computed properties:
DFT formation energy = 0.12 eV per atom
V = 14.27 Å³/atom
Total moment = 0.702 μB per atom

```
MnReTc2
1.0
-1.5437 2.1402 4.3192
1.5437 -2.1402 4.3192
1.5437 2.1402 -4.3192
Mn Re Tc
1 1 2
direct
0.0000 0.0000 0.0000 Mn
0.2410 0.7410 0.5000 Re
0.4958 0.4958 0.0000 Tc
0.7554 0.2554 0.5000 Tc
```

# 8
The following is a PBE calculation of Li2BeAgF6 after structural relaxation, from Alexandria.

Computed properties:
V = 12.35 Å³/atom
Total moment = 0.100 μB per atom
Energy = -4.6290 eV/atom

```
Li2BeAgF6
1.0
5.1013 -3.7097 0.0000
5.1013 3.7097 0.0000
-3.1461 0.0000 6.5279
Li Be Ag F
4 2 2 12
direct
0.1507 0.1610 0.0860 Li
0.1610 0.1507 0.5860 Li
0.8390 0.8493 0.4140 Li
0.8493 0.8390 0.9140 Li
0.2986 0.7014 0.2500 Be
0.7014 0.2986 0.7500 Be
0.3153 0.6847 0.7500 Ag
0.6847 0.3153 0.2500 Ag
0.0473 0.2752 0.3418 F
0.1791 0.8191 0.0755 F
0.1809 0.8209 0.4245 F
0.2752 0.0473 0.8418 F
0.3019 0.4301 0.1737 F
0.4301 0.3019 0.6737 F
0.5699 0.6981 0.3263 F
0.6981 0.5699 0.8263 F
0.7248 0.9527 0.1582 F
0.8191 0.1791 0.5755 F
0.8209 0.1809 0.9245 F
0.9527 0.7248 0.6582 F
```

# 9
The following is a PBE calculation of Ba6Sr8Rh after structural relaxation, from Alexandria.

Computed properties:
DFT formation energy = -0.07 eV per atom
V = 55.07 Å³/atom
Total moment = 0.000 μB per atom

```
Ba6Sr8Rh
1.0
5.7840 3.3394 7.1277
-5.7840 3.3394 7.1277
0.0000 -6.6787 7.1277
Ba Sr Rh
6 8 1
direct
0.1749 0.4633 0.6096 Ba
0.3904 0.8251 0.5367 Ba
0.4633 0.6096 0.1749 Ba
0.5367 0.3904 0.8251 Ba
0.6096 0.1749 0.4633 Ba
0.8251 0.5367 0.3904 Ba
0.0310 0.9003 0.3092 Sr
0.0997 0.6908 0.9690 Sr
0.2473 0.2473 0.2473 Sr
0.3092 0.0310 0.9003 Sr
0.6908 0.9690 0.0997 Sr
0.7527 0.7527 0.7527 Sr
0.9003 0.3092 0.0310 Sr
0.9690 0.0997 0.6908 Sr
0.0000 0.0000 0.0000 Rh
```

# 10
The following is a PBE calculation of K2Sr4Ca after structural relaxation, from Alexandria.

Computed properties:
DFT formation energy = 0.04 eV per atom
V = 57.79 Å³/atom
Total moment = 0.000 μB per atom

```
K2Sr4Ca
1.0
2.1342 -22.3140 0.0000
2.1342 22.3140 0.0000
0.0000 0.0000 4.2477
K Sr Ca
2 4 1
direct
0.2045 0.7955 0.0000 K
0.7955 0.2045 0.0000 K
0.0599 0.9401 0.0000 Sr
0.3728 0.6272 0.5000 Sr
0.6272 0.3728 0.5000 Sr
0.9401 0.0599 0.0000 Sr
0.5000 0.5000 0.5000 Ca
```

Question: Which of these has the lowest V?
Answer: Li2BeAgF6

Question: The lowest V belongs to which entry?
Answer: Li2BeAgF6